# Na2ZnF6, relaxed, DFT PBE
# **DOS at the Fermi energy**: 2.63 states/eV/f.u.
# **Volume**: 14.1 Å³ per atom
# **Formation energy (no corrections)**: -1.961 eV per atom
# **Total moment**: 2.01 μB/f.u.
data_Na2ZnF6
_chemical_formula_sum 'Na4 Zn2 F12'
_cell_length_a 5.541
_cell_length_b 5.883
_cell_length_c 9.140
_cell_angle_alpha 90.00
_cell_angle_beta 121.67
_cell_angle_gamma 90.00
_symmetry_space_group_name_H-M 'P 1 21/c 1'
_symmetry_Int_Tables_number 14
_symmetry_space_group_name_Hall '-P 2ybc'
loop_
_atom_site_label
_atom_site_fract_x
_atom_site_fract_y
_atom_site_fract_z
Na1 0.203 0.072 0.238
Zn1 0.500 0.000 0.000
F1 0.178 0.179 0.956
F2 0.252 0.741 0.912
F3 0.417 0.073 0.775

# NaZn3F, relaxed, DFT PBE
# **DOS at the Fermi energy**: 19.23 states/eV/f.u.
# **Volume**: 34.5 Å³ per atom
# **Energy relative to the lowest polymorph listed for this composition**: 423 meV per atom
# **Formation energy (no corrections)**: 0.233 eV per atom
# **Total moment**: 0.01 μB/f.u.
data_NaZn3F
_chemical_formula_sum 'Na1 Zn3 F1'
_cell_length_a 5.565
_cell_length_b 5.565
_cell_length_c 5.565
_cell_angle_alpha 90.00
_cell_angle_beta 90.00
_cell_angle_gamma 90.00
_symmetry_space_group_name_H-M 'P m -3 m'
_symmetry_Int_Tables_number 221
_symmetry_space_group_name_Hall '-P 4 2 3'
loop_
_atom_site_label
_atom_site_fract_x
_atom_site_fract_y
_atom_site_fract_z
Na1 0.000 0.000 0.000
Zn1 0.000 0.000 0.500
F1 0.500 0.500 0.500

# Na2Zn2F7, relaxed, DFT PBE
# **DOS at the Fermi energy**: 7.80 states/eV/f.u.
# **Volume**: 16.0 Å³ per atom
# **Energy relative to the lowest polymorph listed for this composition**: 0 meV per atom
# **Formation energy (no corrections)**: -2.250 eV per atom
# **Total moment**: 0.97 μB/f.u.
data_Na2Zn2F7
_chemical_formula_sum 'Na4 Zn4 F14'
_cell_length_a 6.526
_cell_length_b 10.215
_cell_length_c 5.331
_cell_angle_alpha 90.00
_cell_angle_beta 99.01
_cell_angle_gamma 90.00
_symmetry_space_group_name_H-M 'C 1 2/m 1'
_symmetry_Int_Tables_number 12
_symmetry_space_group_name_Hall '-C 2y'
loop_
_atom_site_label
_atom_site_fract_x
_atom_site_fract_y
_atom_site_fract_z
Na1 0.000 0.192 0.000
Zn1 0.237 0.000 0.628
F1 0.000 0.500 0.500
F2 0.059 0.000 0.279
F3 0.225 0.333 0.218

# Na2ZnF2, relaxed, DFT PBE
# **DOS at the Fermi energy**: 0.00 states/eV/f.u.
# **Volume**: 23.4 Å³ per atom
# **Energy relative to the lowest polymorph listed for this composition**: 0 meV per atom
# **Formation energy (no corrections)**: -1.838 eV per atom
# **Total moment**: 0.00 μB/f.u.
data_Na2ZnF2
_chemical_formula_sum 'Na4 Zn2 F4'
_cell_length_a 4.413
_cell_length_b 4.413
_cell_length_c 11.999
_cell_angle_alpha 90.00
_cell_angle_beta 90.00
_cell_angle_gamma 90.00
_symmetry_space_group_name_H-M 'I 4/m m m'
_symmetry_Int_Tables_number 139
_symmetry_space_group_name_Hall '-I 4 2'
loop_
_atom_site_label
_atom_site_fract_x
_atom_site_fract_y
_atom_site_fract_z
Na1 0.000 0.000 0.219
Zn1 0.000 0.000 0.500
F1 0.000 0.500 0.250

# NaZn2F6, relaxed, DFT PBE
# **DOS at the Fermi energy**: 5.16 states/eV/f.u.
# **Volume**: 12.8 Å³ per atom
# **Energy relative to the lowest polymorph listed for this composition**: 41 meV per atom
# **Formation energy (no corrections)**: -2.126 eV per atom
# **Total moment**: 1.07 μB/f.u.
data_NaZn2F6
_chemical_formula_sum 'Na2 Zn4 F12'
_cell_length_a 4.685
_cell_length_b 5.498
_cell_length_c 8.964
_cell_angle_alpha 90.00
_cell_angle_beta 90.00
_cell_angle_gamma 90.00
_symmetry_space_group_name_H-M 'P n n m'
_symmetry_Int_Tables_number 58
_symmetry_space_group_name_Hall '-P 2 2n'
loop_
_atom_site_label
_atom_site_fract_x
_atom_site_fract_y
_atom_site_fract_z
Na1 0.000 0.000 0.000
Zn1 0.000 0.500 0.181
F1 0.208 0.363 0.000
F2 0.244 0.313 0.317

# Na12Zn3F5, relaxed, DFT PBE
# **DOS at the Fermi energy**: 7.42 states/eV/f.u.
# **Volume**: 23.3 Å³ per atom
# **Formation energy (no corrections)**: -1.161 eV per atom
# **Total moment**: 0.00 μB/f.u.
data_Na12Zn3F5
_chemical_formula_sum 'Na96 Zn24 F40'
_cell_length_a 15.506
_cell_length_b 15.506
_cell_length_c 15.506
_cell_angle_alpha 90.00
_cell_angle_beta 90.00
_cell_angle_gamma 90.00
_symmetry_space_group_name_H-M 'I a -3 d'
_symmetry_Int_Tables_number 230
_symmetry_space_group_name_Hall '-I 4bd 2c 3'
loop_
_atom_site_label
_atom_site_fract_x
_atom_site_fract_y
_atom_site_fract_z
Na1 0.037 0.048 0.647
Zn1 0.000 0.250 0.125
F1 0.000 0.000 0.000
F2 0.000 0.250 0.375

# NaZn3F6, relaxed, DFT PBE
# **DOS at the Fermi energy**: 1.21 states/eV/f.u.
# **Volume**: 13.1 Å³ per atom
# **Formation energy (no corrections)**: -2.153 eV per atom
# **Total moment**: 0.00 μB/f.u.
data_NaZn3F6
_chemical_formula_sum 'Na3 Zn9 F18'
_cell_length_a 5.5487
_cell_length_b 5.5487
_cell_length_c 14.7025
_cell_angle_alpha 90.00
_cell_angle_beta 90.00
_cell_angle_gamma 120.00
_symmetry_space_group_name_H-M 'R 3'
_symmetry_Int_Tables_number 146
_symmetry_space_group_name_Hall 'R 3'
loop_
_atom_site_label
_atom_site_fract_x
_atom_site_fract_y
_atom_site_fract_z
Na1 0.0000 0.0000 0.0000
Zn1 0.0000 0.0000 0.2155
Zn2 0.0000 0.0000 0.5099
Zn3 0.0000 0.0000 0.7208
F1 0.0255 0.6745 0.7865
F2 0.0662 0.3596 0.2804

# NaZn2F, relaxed, DFT PBE
# **DOS at the Fermi energy**: 0.79 states/eV/f.u.
# **Volume**: 18.6 Å³ per atom
# **Energy relative to the lowest polymorph listed for this composition**: 0 meV per atom
# **Formation energy (no corrections)**: -0.785 eV per atom
# **Total moment**: 0.00 μB/f.u.
data_NaZn2F
_chemical_formula_sum 'Na4 Zn8 F4'
_cell_length_a 7.943
_cell_length_b 7.943
_cell_length_c 4.707
_cell_angle_alpha 90.00
_cell_angle_beta 90.00
_cell_angle_gamma 90.00
_symmetry_space_group_name_H-M 'I -4 2 d'
_symmetry_Int_Tables_number 122
_symmetry_space_group_name_Hall 'I -4 2bw'
loop_
_atom_site_label
_atom_site_fract_x
_atom_site_fract_y
_atom_site_fract_z
Na1 0.000 0.000 0.000
Zn1 0.198 0.250 0.625
F1 0.000 0.000 0.500

# NaZr2ZnF11, relaxed, DFT PBE
# **DOS at the Fermi energy**: 0.00 states/eV/f.u.
# **Volume**: 14.9 Å³ per atom
# **Formation energy (no corrections)**: -3.328 eV per atom
# **Total moment**: 0.00 μB/f.u.
data_NaZr2ZnF11
_chemical_formula_sum 'Na2 Zr4 Zn2 F22'
_cell_length_a 9.252
_cell_length_b 6.820
_cell_length_c 7.880
_cell_angle_alpha 90.00
_cell_angle_beta 116.03
_cell_angle_gamma 90.00
_symmetry_space_group_name_H-M 'C 1 2/m 1'
_symmetry_Int_Tables_number 12
_symmetry_space_group_name_Hall '-C 2y'
loop_
_atom_site_label
_atom_site_fract_x
_atom_site_fract_y
_atom_site_fract_z
Na1 0.000 0.000 0.000
Zr1 0.006 0.500 0.237
Zn1 0.000 0.000 0.500
F1 0.000 0.329 0.000
F2 0.000 0.500 0.500
F3 0.015 0.204 0.312
F4 0.232 0.500 0.890
F5 0.247 0.000 0.649

# Na2ZrZnF, relaxed, DFT PBE
# **DOS at the Fermi energy**: 3.00 states/eV/f.u.
# **Volume**: 34.8 Å³ per atom
# **Formation energy (no corrections)**: -0.147 eV per atom
# **Total moment**: 1.62 μB/f.u.
data_Na2ZrZnF
_chemical_formula_sum 'Na2 Zr1 Zn1 F1'
_cell_length_a 6.492
_cell_length_b 6.492
_cell_length_c 4.135
_cell_angle_alpha 90.00
_cell_angle_beta 90.00
_cell_angle_gamma 90.00
_symmetry_space_group_name_H-M 'P 4/m m m'
_symmetry_Int_Tables_number 123
_symmetry_space_group_name_Hall '-P 4 2'
loop_
_atom_site_label
_atom_site_fract_x
_atom_site_fract_y
_atom_site_fract_z
Na1 0.000 0.500 0.000
Zr1 0.000 0.000 0.000
Zn1 0.500 0.500 0.500
F1 0.000 0.000 0.500

# Na2ZrZnF8, relaxed, DFT PBE
# **DOS at the Fermi energy**: 0.00 states/eV/f.u.
# **Volume**: 14.8 Å³ per atom
# **Formation energy (no corrections)**: -3.045 eV per atom
# **Total moment**: 0.00 μB/f.u.
data_Na2ZrZnF8
_chemical_formula_sum 'Na2 Zr1 Zn1 F8'
_cell_length_a 5.094
_cell_length_b 6.831
_cell_length_c 5.102
_cell_angle_alpha 90.00
_cell_angle_beta 93.66
_cell_angle_gamma 90.00
_symmetry_space_group_name_H-M 'P 1 2/m 1'
_symmetry_Int_Tables_number 10
_symmetry_space_group_name_Hall '-P 2y'
loop_
_atom_site_label
_atom_site_fract_x
_atom_site_fract_y
_atom_site_fract_z
Na1 0.000 0.236 0.000
Zr1 0.500 0.500 0.500
Zn1 0.500 0.000 0.500
F1 0.208 0.500 0.211
F2 0.231 0.000 0.233
F3 0.318 0.273 0.683

# Na3ZrF6, relaxed, DFT PBE
# **DOS at the Fermi energy**: 4.00 states/eV/f.u.
# **Volume**: 15.6 Å³ per atom
# **Formation energy (no corrections)**: -2.989 eV per atom
# **Total moment**: 0.90 μB/f.u.
data_Na3ZrF6
_chemical_formula_sum 'Na18 Zr6 F36'
_cell_length_a 9.7657
_cell_length_b 9.7657
_cell_length_c 11.3279
_cell_angle_alpha 90.00
_cell_angle_beta 90.00
_cell_angle_gamma 120.00
_symmetry_space_group_name_H-M 'R -3'
_symmetry_Int_Tables_number 148
_symmetry_space_group_name_Hall '-R 3'
loop_
_atom_site_label
_atom_site_fract_x
_atom_site_fract_y
_atom_site_fract_z
Na1 0.0343 0.2636 0.2149
Zr1 0.0000 0.0000 0.0000
Zr2 0.0000 0.0000 0.5000
F1 0.0266 0.1817 0.8811
F2 0.0300 0.2077 0.4135

Please write out number 4 again, unchanged.
# Na2ZnF2, relaxed, DFT PBE
# **DOS at the Fermi energy**: 0.00 states/eV/f.u.
# **Volume**: 23.4 Å³ per atom
# **Energy relative to the lowest polymorph listed for this composition**: 0 meV per atom
# **Formation energy (no corrections)**: -1.838 eV per atom
# **Total moment**: 0.00 μB/f.u.
data_Na2ZnF2
_chemical_formula_sum 'Na4 Zn2 F4'
_cell_length_a 4.413
_cell_length_b 4.413
_cell_length_c 11.999
_cell_angle_alpha 90.00
_cell_angle_beta 90.00
_cell_angle_gamma 90.00
_symmetry_space_group_name_H-M 'I 4/m m m'
_symmetry_Int_Tables_number 139
_symmetry_space_group_name_Hall '-I 4 2'
loop_
_atom_site_label
_atom_site_fract_x
_atom_site_fract_y
_atom_site_fract_z
Na1 0.000 0.000 0.219
Zn1 0.000 0.000 0.500
F1 0.000 0.500 0.250

Which formula does entry 8 have? NaZn2F

What is the volume in the eighth record? 18.6 Å³ per atom